VASP calculation (PBE) on a geometry-optimized Na3Y3SiO8 structure.

Cell lengths 6.588, 6.588, 6.716 Å; angles 119.38, 90.00, 120.00 degrees
Sites, in units of the cell vectors:
1 O 0.737 0.475 0.712
2 O 0.215 0.014 0.313
3 O 0.263 0.525 0.288
4 O 0.201 0.402 0.687
5 O 0.785 0.986 0.687
6 O 0.799 0.014 0.313
7 O 0.799 0.598 0.313
8 O 0.201 0.986 0.687
9 Y 0.500 0.000 0.500
10 Y 0.500 0.500 0.500
11 Y 0.000 0.500 0.500
12 Na 0.500 0.500 0.000
13 Na 0.000 0.000 0.000
14 Na 0.000 0.500 0.000
15 Si 0.000 0.000 0.500

Values from the calculation:
The density of states at the Fermi level is 0.00 states/eV/atom. Its space-group type is R-3m.

---

VASP calculation (PBE) on a geometry-optimized NaYSiO4 structure.

Cell lengths 5.746, 5.545, 6.880 Å; angles 90.00, 90.12, 90.00 degrees
Sites, in units of the cell vectors:
1 Si 0.692 0.250 0.659
2 Si 0.308 0.750 0.341
3 O 0.425 0.750 0.560
4 O 0.575 0.250 0.440
5 O 0.872 0.018 0.677
6 O 0.474 0.250 0.812
7 O 0.128 0.982 0.323
8 O 0.128 0.518 0.323
9 O 0.872 0.482 0.677
10 O 0.526 0.750 0.188
11 Na 0.601 0.750 0.865
12 Na 0.399 0.250 0.135
13 Y 0.803 0.750 0.428
14 Y 0.197 0.250 0.572

Values from the calculation:
The density of states at the Fermi level is 0.00 states/eV/atom. Its space-group type is P2_1/m.

---

VASP calculation (PBE) on a geometry-optimized Na2ZnSi2O6 structure.

Cell lengths 11.464, 11.409, 5.225 Å; angles 77.38, 76.21, 26.41 degrees
Sites, in units of the cell vectors:
1 Si 0.903 0.430 0.644
2 Si 0.227 0.606 0.820
3 Si 0.644 0.023 0.903
4 Si 0.820 0.347 0.227
5 O 0.587 0.948 0.116
6 O 0.253 0.590 0.504
7 O 0.924 0.834 0.962
8 O 0.970 0.288 0.416
9 O 0.598 0.746 0.660
10 O 0.660 0.997 0.598
11 O 0.416 0.326 0.970
12 O 0.902 0.134 0.302
13 O 0.302 0.663 0.902
14 O 0.504 0.652 0.253
15 O 0.962 0.280 0.924
16 O 0.116 0.348 0.587
17 Na 0.289 0.867 0.665
18 Na 0.665 0.179 0.289
19 Na 0.071 0.585 0.383
20 Na 0.383 0.961 0.071
21 Zn 0.498 0.002 0.498
22 Zn 0.248 0.752 0.248

Values from the calculation:
The density of states at the Fermi level is 0.00 states/eV/atom. The energy above the most stable polymorph in this dataset is 0.0 kJ/mol of formula units. Its space-group type is Fdd2.

---

VASP calculation (PBE) on a geometry-optimized Na2ZnSiO4 structure.

Cell lengths 5.544, 5.336, 8.816 Å; angles 53.05, 90.00, 90.00 degrees
Sites, in units of the cell vectors:
1 Zn 0.188 0.998 0.002
2 Zn 0.812 0.998 0.502
3 O 0.599 0.143 0.282
4 O 0.842 0.976 0.947
5 O 0.289 0.583 0.228
6 O 0.711 0.583 0.728
7 O 0.209 0.305 0.061
8 O 0.401 0.143 0.782
9 O 0.158 0.976 0.447
10 O 0.791 0.305 0.561
11 Na 0.672 0.736 0.253
12 Na 0.181 0.485 0.508
13 Na 0.328 0.736 0.753
14 Na 0.819 0.485 0.008
15 Si 0.312 0.250 0.255
16 Si 0.688 0.250 0.755

Values from the calculation:
The density of states at the Fermi level is 0.00 states/eV/atom. Its space-group type is Pc.

---

VASP calculation (PBE) on a geometry-optimized Na2ZnSiO4 structure.

Cell lengths 5.379, 6.159, 6.254 Å; angles 90.00, 90.00, 90.00 degrees
Sites, in units of the cell vectors:
1 O 0.364 0.082 0.500
2 O 0.423 0.701 0.281
3 O 0.923 0.299 0.219
4 O 0.423 0.701 0.719
5 O 0.806 0.870 0.500
6 O 0.864 0.918 0.000
7 O 0.306 0.130 0.000
8 O 0.923 0.299 0.781
9 Na 0.491 0.332 0.254
10 Na 0.491 0.332 0.746
11 Na 0.991 0.668 0.754
12 Na 0.991 0.668 0.246
13 Si 0.001 0.158 0.000
14 Si 0.501 0.842 0.500
15 Zn 0.500 0.861 0.000
16 Zn 0.000 0.139 0.500

Values from the calculation:
The density of states at the Fermi level is 0.00 states/eV/atom. Its space-group type is Pmn2_1.

---

VASP calculation (PBE) on a geometry-optimized Na2ZnSi2O6 structure.

Cell lengths 5.752, 5.752, 10.029 Å; angles 88.41, 88.41, 114.42 degrees
Sites, in units of the cell vectors:
1 O 0.910 0.633 0.691
2 O 0.090 0.367 0.309
3 O 0.090 0.910 0.250
4 O 0.534 0.774 0.609
5 O 0.000 0.000 0.500
6 O 0.633 0.910 0.191
7 O 0.910 0.090 0.750
8 O 0.774 0.534 0.109
9 O 0.226 0.466 0.891
10 O 0.000 0.000 0.000
11 O 0.466 0.226 0.391
12 O 0.367 0.090 0.809
13 Na 0.261 0.611 0.104
14 Na 0.389 0.739 0.396
15 Na 0.739 0.389 0.896
16 Na 0.611 0.261 0.604
17 Si 0.138 0.165 0.861
18 Si 0.835 0.862 0.639
19 Si 0.165 0.138 0.361
20 Si 0.862 0.835 0.139
21 Zn 0.730 0.270 0.250
22 Zn 0.270 0.730 0.750

Values from the calculation:
The density of states at the Fermi level is 0.00 states/eV/atom. The energy above the most stable polymorph in this dataset is 7.1 kJ/mol of formula units. Its space-group type is C2/c.

---

VASP calculation (PBE) on a geometry-optimized NaZnSi2O structure.

Cell lengths 5.007, 4.836, 5.007 Å; angles 90.00, 90.00, 90.00 degrees
Each line ends with the local moment (μB).
Sites, in units of the cell vectors:
1 O 0.500 0.500 0.500  -0.56
2 Si 0.500 0.000 0.000  0.03
3 Si 0.000 0.000 0.500  0.01
4 Na 0.000 0.000 0.000  -0.01
5 Zn 0.000 0.500 0.000  0.00

Values from the calculation:
The density of states at the Fermi level is 0.67 states/eV/atom. Its space-group type is P4/mmm.

---

VASP calculation (PBE) on a geometry-optimized Na2ZrSi2O8 structure.

Cell lengths 5.468, 5.468, 13.388 Å; angles 88.55, 88.55, 119.02 degrees
Each line ends with the local moment (μB).
Sites, in units of the cell vectors:
1 O 0.684 0.886 0.892  0.02
2 O 0.128 0.282 0.619  0.01
3 O 0.662 0.490 0.730  1.24
4 O 0.257 0.352 0.909  0.02
5 O 0.352 0.257 0.409  0.02
6 O 0.886 0.684 0.392  0.02
7 O 0.689 0.297 0.253  0.04
8 O 0.795 0.212 0.067  0.04
9 O 0.647 0.732 0.599  0.28
10 O 0.732 0.647 0.099  0.28
11 O 0.282 0.128 0.119  0.01
12 O 0.297 0.689 0.753  0.04
13 O 0.147 0.782 0.925  0.02
14 O 0.490 0.662 0.230  1.24
15 O 0.212 0.795 0.567  0.04
16 O 0.782 0.147 0.425  0.02
17 Si 0.616 0.317 0.136  0.00
18 Si 0.677 0.353 0.375  0.00
19 Si 0.353 0.677 0.875  0.00
20 Si 0.317 0.616 0.636  0.00
21 Zr 0.994 0.009 0.008  0.00
22 Zr 0.009 0.994 0.508  0.00
23 Na 0.043 0.973 0.758  0.00
24 Na 0.345 0.696 0.401  0.00
25 Na 0.973 0.043 0.258  0.00
26 Na 0.696 0.345 0.901  0.00

Values from the calculation:
Its space-group type is Cc.

---

Energy relative to the elements, uncorrected (eV per atom)
-2.67 -2.85 -2.33 -2.14 -2.11 -2.33 1.67 -2.33
Size of the total moment (μB/cell)
0.00 0.00 0.00 0.00 0.00 0.00 0.48 4.07